Density functional theory data (GGA-PBE) for a geometry-optimized Sn2NClF structure.

a = 5.295 Å, b = 5.295 Å, c = 3.991 Å
α = 90.00°, β = 90.00°, γ = 90.00°
Positions (direct):
Sn (0.000, 0.500, 0.000)
Sn (0.500, 0.000, 0.000)
N (0.000, 0.000, 0.500)
Cl (0.000, 0.000, 0.000)
F (0.500, 0.500, 0.500)

Properties
SG: No. 123
N(E_F): 4.64 states/eV/f.u.
M_tot: 0.0 μB per cell
Formation energy without anion corrections: 3.54 eV per formula unit

***

Density functional theory data (GGA-PBE) for a geometry-optimized AcIn15Sn4 structure.

a = 5.007 Å, b = 5.007 Å, c = 22.311 Å
α = 90.00°, β = 90.00°, γ = 90.00°
Positions (direct):
Ac (0.000, 0.000, 0.000)
In (0.000, 0.500, 0.108)
In (0.000, 0.500, 0.304)
In (0.000, 0.500, 0.500)
In (0.000, 0.500, 0.696)
In (0.000, 0.500, 0.892)
In (0.500, 0.000, 0.108)
In (0.500, 0.000, 0.304)
In (0.500, 0.000, 0.500)
In (0.500, 0.000, 0.696)
In (0.500, 0.000, 0.892)
In (0.500, 0.500, 0.000)
In (0.500, 0.500, 0.208)
In (0.500, 0.500, 0.402)
In (0.500, 0.500, 0.598)
In (0.500, 0.500, 0.792)
Sn (0.000, 0.000, 0.196)
Sn (0.000, 0.000, 0.399)
Sn (0.000, 0.000, 0.601)
Sn (0.000, 0.000, 0.804)

Properties
SG: No. 123
Formation enthalpy at 0 K: -0.06 eV/atom
N(E_F): 6.15 states/eV/f.u.
M_tot: 0.0 μB per cell

***

Density functional theory data (GGA-PBE) for a geometry-optimized Th4AsOs2S structure.

a = 7.129 Å, b = 4.115 Å, c = 7.489 Å
α = 90.00°, β = 108.33°, γ = 90.00°
Positions (direct):
Th (0.241, 0.000, 0.225)
Th (0.258, 0.500, 0.775)
Th (0.742, 0.500, 0.225)
Th (0.759, 0.000, 0.775)
As (0.500, 0.500, 0.500)
Os (0.000, 0.500, 0.000)
Os (0.500, 0.000, 0.000)
S (0.000, 0.000, 0.500)

Properties
SG: No. 10
N(E_F): 4.64 states/eV/f.u.
M_tot: 0.0 μB per cell
Formation energy without anion corrections: -7.30 eV per formula unit

***

Density functional theory data (GGA-PBE) for a geometry-optimized Dy2CoS structure.

a = 11.262 Å, b = 11.262 Å, c = 3.866 Å
α = 90.00°, β = 90.00°, γ = 160.01°
Positions (direct):
Dy (0.067, 0.933, 0.750)
Dy (0.316, 0.684, 0.750)
Dy (0.684, 0.316, 0.250)
Dy (0.933, 0.067, 0.250)
Co (0.472, 0.528, 0.750)
Co (0.528, 0.472, 0.250)
S (0.192, 0.808, 0.750)
S (0.808, 0.192, 0.250)

Properties
SG: No. 63
N(E_F): 2.75 states/eV/f.u.
M_tot: 1.1 μB per cell
Formation energy without anion corrections: -4.42 eV per formula unit

***

Density functional theory data (GGA-PBE) for a geometry-optimized Hg3RuI9 structure.

a = 11.085 Å, b = 11.085 Å, c = 14.096 Å
α = 124.52°, β = 124.52°, γ = 56.40°
Positions (direct):
Hg (0.045, 0.955, 0.500)
Hg (0.276, 0.401, 0.539)
Hg (0.401, 0.276, 0.039)
Hg (0.503, 0.732, 0.418)
Hg (0.732, 0.503, 0.918)
Hg (0.955, 0.045, 0.000)
Ru (0.516, 0.954, 0.233)
Ru (0.954, 0.516, 0.733)
I (0.004, 0.404, 0.520)
I (0.006, 0.313, 0.060)
I (0.221, 0.731, 0.618)
I (0.249, 0.955, 0.201)
I (0.257, 0.430, 0.865)
I (0.287, 0.570, 0.224)
I (0.313, 0.006, 0.560)
I (0.404, 0.004, 0.020)
I (0.430, 0.257, 0.365)
I (0.554, 0.657, 0.073)
I (0.570, 0.287, 0.724)
I (0.657, 0.554, 0.573)
I (0.671, 0.855, 0.421)
I (0.731, 0.221, 0.118)
I (0.794, 0.942, 0.269)
I (0.855, 0.671, 0.921)
I (0.942, 0.794, 0.769)
I (0.955, 0.249, 0.701)

Properties
SG: No. 9
N(E_F): 4.18 states/eV/f.u.
M_tot: 2.2 μB per cell
Formation energy without anion corrections: -1.84 eV per formula unit

***

Density functional theory data (GGA-PBE) for a geometry-optimized Cs2MnPdCl6 structure.

a = 7.204 Å, b = 7.204 Å, c = 7.204 Å
α = 60.00°, β = 60.00°, γ = 60.00°
Positions (direct):
Cs (0.250, 0.250, 0.250)
Cs (0.750, 0.750, 0.750)
Mn (0.000, 0.000, 0.000)
Pd (0.500, 0.500, 0.500)
Cl (0.243, 0.243, 0.757)
Cl (0.243, 0.757, 0.243)
Cl (0.243, 0.757, 0.757)
Cl (0.757, 0.243, 0.243)
Cl (0.757, 0.243, 0.757)
Cl (0.757, 0.757, 0.243)

Properties
SG: No. 225
N(E_F): 0.10 states/eV/f.u.
M_tot: 3.0 μB per cell
Formation energy without anion corrections: -12.69 eV per formula unit

***

Density functional theory data (GGA-PBE) for a geometry-optimized TaSiRuBr2 structure.

a = 5.000 Å, b = 5.000 Å, c = 5.162 Å
α = 90.00°, β = 90.00°, γ = 90.00°
Positions (direct):
Ta (0.000, 0.000, 0.000)
Si (0.000, 0.000, 0.500)
Ru (0.500, 0.500, 0.500)
Br (0.000, 0.500, 0.000)
Br (0.500, 0.000, 0.000)

Properties
SG: No. 123
N(E_F): 4.97 states/eV/f.u.
M_tot: 3.3 μB per cell
Formation energy without anion corrections: 5.97 eV per formula unit

***

Density functional theory data (GGA-PBE) for a geometry-optimized NaPmScSn structure.

a = 5.266 Å, b = 5.266 Å, c = 5.266 Å
α = 60.00°, β = 60.00°, γ = 60.00°
Positions (direct):
Na (0.000, 0.000, 0.000)
Pm (0.250, 0.250, 0.250)
Sc (0.750, 0.750, 0.750)
Sn (0.500, 0.500, 0.500)

Properties
SG: No. 216
Formation enthalpy at 0 K: -0.25 eV/atom
N(E_F): 3.78 states/eV/f.u.
M_tot: 0.4 μB per cell

***

Q: Look up the N(E_F) of the first one.
A: 4.64 states/eV/f.u.

***

Q: Which value of M_tot does entry 8 give?
A: 0.4 μB per cell

***

Q: Among the records above, which one has the highest M_tot?
A: TaSiRuBr2